Entry from Alexandria: crystalline YCdSe2N at its relaxed geometry (PBE).

Results
The calculation puts the spin magnetization at 2.1 Bohr magnetons per cell. The space group is P4/mmm (123). As for the relative energy among the computed polymorphs: 0 meV/atom.

Geometry as extended XYZ:
```
5
Lattice="5.550 0.000 0.000 0.000 5.550 0.000 0.000 0.000 4.443" Properties=species:S:1:pos:R:3 pbc="T T T"
Y 0.000 0.000 0.000
Cd 2.775 2.775 2.221
Se 0.000 2.775 0.000
Se 2.775 0.000 0.000
N 0.000 0.000 2.221
```

Entry from Alexandria: crystalline Cd2PbIO6 at its relaxed geometry (PBE).

Results
The calculation puts the spin magnetization at 0.0 Bohr magnetons per cell. The space group is R3 (146). The value obtained for the total energy is -44.24 eV/cell.

Geometry as extended XYZ:
```
10
Lattice="2.911 1.681 5.185 -2.911 1.681 5.185 0.000 -3.362 5.185" Properties=species:S:1:pos:R:3 pbc="T T T"
Cd 0.000 0.000 0.000
Cd 0.000 0.000 7.527
Pb 0.000 0.000 4.208
I 0.000 0.000 12.233
O -1.142 -1.556 5.997
O -2.099 -0.344 8.336
O -0.776 1.767 5.997
O 1.347 -1.646 8.336
O 1.919 -0.211 5.997
O 0.752 1.989 8.336
```

Entry from Alexandria: crystalline Dy3Al4Zn2 at its relaxed geometry (PBE).

Results
The formation energy is -0.47 eV/atom. The calculation puts the spin magnetization at 0.0 Bohr magnetons per cell. The space group is C2/m (12).

Geometry as extended XYZ:
```
9
Lattice="5.286 -2.248 0.000 5.286 2.248 0.000 -3.374 0.000 7.884" Properties=species:S:1:pos:R:3 pbc="T T T"
Dy 0.000 0.000 0.000
Dy 2.377 0.000 2.647
Dy 4.821 0.000 5.237
Al -0.761 0.000 3.005
Al -0.269 0.000 7.380
Al 7.468 0.000 0.505
Al 7.960 0.000 4.879
Zn 1.690 0.000 5.695
Zn 5.509 0.000 2.189
```

Entry from Alexandria: crystalline GaH3Pb at its relaxed geometry (PBE).

Results
The calculation puts the spin magnetization at 0.0 Bohr magnetons per cell. The space group is Pm-3m (221). As for the relative energy among the computed polymorphs: 130 meV/atom.

Geometry as extended XYZ:
```
5
Lattice="4.321 0.000 0.000 0.000 4.321 0.000 0.000 0.000 4.321" Properties=species:S:1:pos:R:3 pbc="T T T"
Ga 0.000 0.000 0.000
H 0.000 2.161 2.161
H 2.161 0.000 2.161
H 2.161 2.161 0.000
Pb 2.161 2.161 2.161
```